#a
DFT (PBE-GGA) results for a relaxed structure of GaSi2Au2.

It has space group P4/mbm (No. 127), with a = 8.1168 Å, b = 8.1168 Å, c = 2.7737 Å, α = 90.00°, β = 90.00° and γ = 90.00°. Symmetry generates all atoms from Ga at (0.0000, 0.0000, 0.0000), Si at (0.1351, 0.3649, 0.5000) and Au at (0.1633, 0.6633, 0.0000).

The total magnetic moment comes out at 0.0 μB/f.u. As for the mass density: 9.45 g/cm3.



#b
DFT (PBE-GGA) results for a relaxed structure of GaSi2Au2.

It has space group P4/mbm (No. 127), with a = 8.1356 Å, b = 8.1356 Å, c = 2.7649 Å, α = 90.00°, β = 90.00° and γ = 90.00°. Symmetry generates all atoms from Ga at (0.0000, 0.0000, 0.0000), Si at (0.1377, 0.3623, 0.0000) and Au at (0.1588, 0.6588, 0.5000).

The total magnetic moment comes out at 0.0 μB/f.u. As for the mass density: 9.43 g/cm3.



#c
DFT (PBE-GGA) results for a relaxed structure of GaSi2Au2.

It has space group I4/mmm (No. 139), with a = 3.8998 Å, b = 3.8998 Å, c = 12.3295 Å, α = 90.00°, β = 90.00° and γ = 90.00°. Symmetry generates all atoms from Ga at (0.0000, 0.0000, 0.0000), Si at (0.0000, 0.5000, 0.2500) and Au at (0.0000, 0.0000, 0.3884).

The total magnetic moment comes out at 0.0 μB/f.u. As for the mass density: 9.21 g/cm3.



Winner for stability: #c